Entry 1:
DFT (PBE-GGA) results for BaSrCuSi2Ge after structural relaxation.

Cell and atoms, written as POSCAR:
```
BaSrCuSi2Ge
1.0
0.000 4.839 7.238
4.216 0.000 7.238
4.216 4.839 0.000
Ba Cu Ge Si Sr
2 2 2 4 2
direct
0.244 0.756 0.244 Ba
0.756 0.244 0.756 Ba
0.665 0.665 0.335 Cu
0.335 0.335 0.665 Cu
0.831 0.831 0.169 Ge
0.169 0.169 0.831 Ge
0.828 0.339 0.172 Si
0.661 0.172 0.339 Si
0.339 0.828 0.661 Si
0.172 0.661 0.828 Si
0.250 0.250 0.250 Sr
0.750 0.750 0.750 Sr
```

## Properties
Space-group type: No. 69
Energy above the lowest structure with this stoichiometry: 0.00 eV per formula unit

Entry 2:
DFT (PBE-GGA) results for GdDyIn4Ni2 after structural relaxation.

Cell and atoms, written as POSCAR:
```
GdDyIn4Ni2
1.0
7.401 0.000 0.000
0.000 2.164 5.244
0.000 -2.164 5.244
Dy Gd In Ni
1 1 4 2
direct
0.500 0.568 0.568 Dy
0.000 0.432 0.432 Gd
0.201 0.143 0.143 In
0.799 0.143 0.143 In
0.301 0.856 0.856 In
0.699 0.856 0.856 In
0.500 0.285 0.285 Ni
0.000 0.715 0.715 Ni
```

## Properties
Space-group type: No. 38
E_tot: -4.3622 eV per atom